K2Li3NiO4 | PBE with a Hubbard U | optimized geometry

abc: 5.570 8.843 11.028
angles: 90.00 111.34 90.00
Sites, in units of the cell vectors:
1 K 0.208 0.008 0.362
2 K 0.208 0.492 0.862
3 K 0.222 0.229 0.609
4 K 0.222 0.271 0.109
5 K 0.778 0.729 0.891
6 K 0.778 0.771 0.391
7 K 0.792 0.508 0.138
8 K 0.792 0.992 0.638
9 Li 0.122 0.737 0.699
10 Li 0.122 0.763 0.199
11 Li 0.133 0.006 0.933
12 Li 0.133 0.494 0.433
13 Li 0.405 0.529 0.300
14 Li 0.405 0.971 0.800
15 Li 0.595 0.029 0.200
16 Li 0.595 0.471 0.700
17 Li 0.867 0.506 0.567
18 Li 0.867 0.994 0.067
19 Li 0.878 0.237 0.801
20 Li 0.878 0.263 0.301
21 Ni 0.398 0.714 0.563
22 Ni 0.398 0.786 0.063
23 Ni 0.602 0.214 0.937
24 Ni 0.602 0.286 0.437
25 O 0.241 0.552 0.623
26 O 0.241 0.948 0.123
27 O 0.250 0.175 0.856
28 O 0.250 0.325 0.356
29 O 0.266 0.690 0.382
30 O 0.266 0.810 0.882
31 O 0.282 0.608 0.115
32 O 0.282 0.892 0.615
33 O 0.718 0.108 0.385
34 O 0.718 0.392 0.885
35 O 0.734 0.190 0.118
36 O 0.734 0.310 0.618
37 O 0.750 0.675 0.644
38 O 0.750 0.825 0.144
39 O 0.759 0.052 0.877
40 O 0.759 0.448 0.377

Calculated values
SG: P2_1/c, No. 14
Total magnetization: 2.93 μB/f.u.
Total DFT energy (no corrections): -4.479 eV/atom